1.
Entry from the Alexandria database: a geometry-optimized CePu2Pd3 structure (GGA-PBE).

a b c (Å): 4.816 14.264 6.817
angles (deg): 90.00 90.00 90.00
Space group Imma (No. 74)
Inequivalent atoms, fractional coordinates:
Ce: 0.000 0.250 0.119
Pu: 0.000 0.084 0.876
Pd: 0.000 0.084 0.374
Pd: 0.000 0.250 0.627

Summary:
ΔH_f (0 K) (meV/atom): -550.5

---

2.
Entry from the Alexandria database: a geometry-optimized Ce3PuPd structure (GGA-PBE).

a b c (Å): 12.614 7.217 10.819
angles (deg): 90.00 103.32 90.00
Space group C2/c (No. 15)
Inequivalent atoms, fractional coordinates:
Ce: 0.067 0.137 0.116
Ce: 0.127 0.492 0.815
Ce: 0.199 0.079 0.889
Pu: 0.000 0.134 0.750
Pu: 0.000 0.500 0.000
Pd: 0.181 0.230 0.593

Summary:
ΔH_f (0 K) (meV/atom): -137.2

---

3.
Entry from the Alexandria database: a geometry-optimized Ce2PuPd structure (GGA-PBE).

a b c (Å): 7.231 7.231 7.231
angles (deg): 90.00 90.00 90.00
Space group Fm-3m (No. 225)
Inequivalent atoms, fractional coordinates:
Ce: 0.250 0.250 0.250
Pu: 0.000 0.000 0.000
Pd: 0.000 0.000 0.500

Summary:
ΔH_f (0 K) (meV/atom): -202.0
Energy relative to the lowest polymorph listed for this composition (meV per atom): 52

---

4.
Entry from the Alexandria database: a geometry-optimized CePu3Pd12 structure (GGA-PBE).

a b c (Å): 4.155 4.155 16.579
angles (deg): 90.00 90.00 90.00
Space group P4/mmm (No. 123)
Inequivalent atoms, fractional coordinates:
Ce: 0.000 0.000 0.000
Pu: 0.000 0.000 0.251
Pu: 0.000 0.000 0.500
Pd: 0.000 0.500 0.124
Pd: 0.000 0.500 0.375
Pd: 0.500 0.500 0.000
Pd: 0.500 0.500 0.249
Pd: 0.500 0.500 0.500

Summary:
ΔH_f (0 K) (meV/atom): -631.1

---

5.
Entry from the Alexandria database: a geometry-optimized Ce4PuPd structure (GGA-PBE).

a b c (Å): 7.847 12.055 6.302
angles (deg): 90.00 104.00 90.00
Space group P2_1/c (No. 14)
Inequivalent atoms, fractional coordinates:
Ce: 0.066 0.196 0.182
Ce: 0.288 0.672 0.107
Ce: 0.304 0.540 0.601
Ce: 0.366 0.084 0.618
Pu: 0.400 0.185 0.099
Pd: 0.022 0.052 0.717

Summary:
ΔH_f (0 K) (meV/atom): -137.2

---

6.
Entry from the Alexandria database: a geometry-optimized Ce6PuPd3 structure (GGA-PBE).

a b c (Å): 6.470 7.676 11.785
angles (deg): 90.00 120.87 90.00
Space group P2_1/c (No. 14)
Inequivalent atoms, fractional coordinates:
Ce: 0.099 0.042 0.231
Ce: 0.197 0.711 0.061
Ce: 0.379 0.150 0.056
Pu: 0.000 0.000 0.000
Pd: 0.306 0.098 0.732
Pd: 0.500 0.000 0.500

Summary:
ΔH_f (0 K) (meV/atom): -463.5

---

7.
Entry from the Alexandria database: a geometry-optimized CePuPd14 structure (GGA-PBE).

a b c (Å): 5.837 5.837 7.814
angles (deg): 90.00 90.00 90.00
Space group P4/mmm (No. 123)
Inequivalent atoms, fractional coordinates:
Ce: 0.000 0.000 0.000
Pu: 0.500 0.500 0.000
Pd: 0.000 0.000 0.500
Pd: 0.000 0.500 0.000
Pd: 0.000 0.500 0.500
Pd: 0.250 0.250 0.256
Pd: 0.500 0.500 0.500

Summary:
ΔH_f (0 K) (meV/atom): -351.6

---

8.
Entry from the Alexandria database: a geometry-optimized Ce4PuPd15 structure (GGA-PBE).

a b c (Å): 4.164 4.164 20.773
angles (deg): 90.00 90.00 90.00
Space group P4/mmm (No. 123)
Inequivalent atoms, fractional coordinates:
Ce: 0.000 0.000 0.100
Ce: 0.000 0.000 0.301
Pu: 0.000 0.000 0.500
Pd: 0.000 0.500 0.000
Pd: 0.000 0.500 0.200
Pd: 0.000 0.500 0.399
Pd: 0.500 0.500 0.100
Pd: 0.500 0.500 0.299
Pd: 0.500 0.500 0.500

Summary:
ΔH_f (0 K) (meV/atom): -772.5

---

9.
Entry from the Alexandria database: a geometry-optimized Ce2PuPd structure (GGA-PBE).

a b c (Å): 5.294 5.294 3.236
angles (deg): 90.00 90.00 90.00
Space group P4/mmm (No. 123)
Inequivalent atoms, fractional coordinates:
Ce: 0.000 0.500 0.000
Pu: 0.000 0.000 0.500
Pd: 0.500 0.500 0.500

Summary:
ΔH_f (0 K) (meV/atom): -253.9
Energy relative to the lowest polymorph listed for this composition (meV per atom): 0

---

10.
Entry from the Alexandria database: a geometry-optimized Ce2PuPdS4 structure (GGA-PBE).

a b c (Å): 6.808 6.808 6.940
angles (deg): 90.00 90.00 90.00
Space group I-42m (No. 121)
Inequivalent atoms, fractional coordinates:
Ce: 0.000 0.500 0.000
Pu: 0.000 0.000 0.000
Pd: 0.000 0.000 0.500
S: 0.208 0.208 0.288

Summary:
Uncorrected formation energy (eV/atom): -1.48

---

11.
Entry from the Alexandria database: a geometry-optimized CePuPdSe3 structure (GGA-PBE).

a b c (Å): 8.197 4.045 9.024
angles (deg): 90.00 102.22 90.00
Space group P2_1/m (No. 11)
Inequivalent atoms, fractional coordinates:
Ce: 0.174 0.250 0.253
Pu: 0.330 0.750 0.828
Pd: 0.092 0.250 0.591
Se: 0.089 0.250 0.874
Se: 0.256 0.750 0.503
Se: 0.412 0.750 0.162

Summary:
Uncorrected formation energy (eV/atom): -1.39

---

12.
Entry from the Alexandria database: a geometry-optimized Ce2Pu2Si4Pd structure (GGA-PBE).

a b c (Å): 6.841 6.841 8.533
angles (deg): 90.00 90.00 90.00
Space group I4/mmm (No. 139)
Inequivalent atoms, fractional coordinates:
Ce: 0.000 0.500 0.250
Pu: 0.000 0.000 0.171
Si: 0.245 0.245 0.500
Pd: 0.000 0.000 0.500

Summary:
Uncorrected formation energy (eV/atom): -0.33